DFT (PBE) results for crystalline RbPaCdI6 at its relaxed geometry.

Cell: 8.962 8.962 14.246 Å, 90.00 90.00 120.00°
Atoms (fractional coordinates):
Rb: 0.333 0.667 0.250
Rb: 0.667 0.333 0.750
Pa: 0.333 0.667 0.750
Pa: 0.667 0.333 0.250
Cd: 0.000 0.000 0.000
Cd: 0.000 0.000 0.500
I: 0.066 0.396 0.628
I: 0.066 0.670 0.872
I: 0.330 0.396 0.872
I: 0.330 0.934 0.628
I: 0.396 0.066 0.128
I: 0.396 0.330 0.372
I: 0.604 0.670 0.628
I: 0.604 0.934 0.872
I: 0.670 0.066 0.372
I: 0.670 0.604 0.128
I: 0.934 0.330 0.128
I: 0.934 0.604 0.372

Total energy (eV per atom): -3.21
Magnetization (μB per cell): 0.16
SG: P-31c (163)
D(E_F) (states/eV/f.u.): 1.34

***

DFT (PBE) results for crystalline PaTlCdI6 at its relaxed geometry.

Cell: 8.528 8.528 14.828 Å, 90.00 90.00 120.00°
Atoms (fractional coordinates):
Pa: 0.333 0.667 0.250
Pa: 0.667 0.333 0.750
Tl: 0.333 0.667 0.750
Tl: 0.667 0.333 0.250
Cd: 0.000 0.000 0.000
Cd: 0.000 0.000 0.500
I: 0.048 0.385 0.133
I: 0.048 0.662 0.367
I: 0.338 0.385 0.367
I: 0.338 0.952 0.133
I: 0.385 0.048 0.633
I: 0.385 0.338 0.867
I: 0.615 0.662 0.133
I: 0.615 0.952 0.367
I: 0.662 0.048 0.867
I: 0.662 0.615 0.633
I: 0.952 0.338 0.633
I: 0.952 0.615 0.867

Total energy (eV per atom): -3.18
Magnetization (μB per cell): 0.17
SG: P-31c (163)
D(E_F) (states/eV/f.u.): 1.68

***

DFT (PBE) results for crystalline CdPb2I at its relaxed geometry.

Cell: 3.739 3.739 8.900 Å, 90.00 90.00 90.00°
Atoms (fractional coordinates):
Cd: 0.000 0.000 0.000
Pb: 0.500 0.500 0.227
Pb: 0.500 0.500 0.773
I: 0.000 0.000 0.500

Excess energy over the best structure of this formula in the dataset (eV per atom): 0.000
Total energy (eV per atom): -2.49
Magnetization (μB per cell): 0.00
SG: P4/mmm (123)
D(E_F) (states/eV/f.u.): 2.54

***

DFT (PBE) results for crystalline CdPb3I at its relaxed geometry.

Cell: 5.802 5.802 5.802 Å, 90.00 90.00 90.00°
Atoms (fractional coordinates):
Cd: 0.000 0.000 0.000
Pb: 0.000 0.000 0.500
Pb: 0.000 0.500 0.000
Pb: 0.500 0.000 0.000
I: 0.500 0.500 0.500

Excess energy over the best structure of this formula in the dataset (eV per atom): 0.000
Total energy (eV per atom): -2.38
Magnetization (μB per cell): 0.00
SG: Pm-3m (221)
D(E_F) (states/eV/f.u.): 3.58